RbSmSCl: relaxed, PBE.

Cell: 4.070 4.070 8.348 Å, 90.01 104.11 120.00°
Fractional positions:
Cl (0.940, 0.368, 0.323)
Sm (0.121, 0.959, 0.095)
S (0.331, 0.563, 0.909)
Rb (0.486, 0.141, 0.642)

Results
**Symmetry**: R3m
**Raw formation energy**: -1.66 eV per atom



KH2Rh: relaxed, PBE.

Cell: 3.175 3.175 5.778 Å, 74.05 74.05 60.00°
Fractional positions:
K (0.500, 0.500, 0.500)
H (0.701, 0.701, 0.898)
Rh (0.000, 0.000, 0.000)
H (0.299, 0.299, 0.102)

Results
**Energy above the most stable polymorph in this dataset**: 13 meV/atom
**Symmetry**: R-3m



Al3OsPb: relaxed, PBE.

Cell: 4.816 4.816 4.816 Å, 90.00 90.00 90.00°
Fractional positions:
Al (0.500, 0.000, 0.000)
Os (0.000, 0.000, 0.000)
Al (0.000, 0.500, 0.000)
Pb (0.500, 0.500, 0.500)
Al (0.000, 0.000, 0.500)

Results
**E_form**: 136 meV per atom
**Energy above the most stable polymorph in this dataset**: 0 meV/atom
**Symmetry**: Pm-3m



Ce3PuGa8: relaxed, PBE.

Cell: 5.556 5.556 9.615 Å, 73.21 73.21 60.00°
Fractional positions:
Ga (0.938, 0.938, 0.688)
Pu (0.875, 0.875, 0.375)
Ga (0.188, 0.188, 0.437)
Ga (0.939, 0.437, 0.187)
Ce (0.376, 0.376, 0.873)
Ce (0.502, 0.502, 0.493)
Ga (0.437, 0.437, 0.187)
Ga (0.437, 0.939, 0.187)
Ga (0.687, 0.687, 0.938)
Ga (0.437, 0.938, 0.688)
Ga (0.938, 0.437, 0.688)
Ce (0.997, 0.997, 0.009)

Results
**E_form**: -518 meV per atom
**Symmetry**: R3m



Al2ReSe: relaxed, PBE.

Cell: 3.240 4.640 4.223 Å, 90.00 90.00 90.00°
Fractional positions:
Al (0.500, 0.500, 0.000)
Re (0.500, 0.000, 0.500)
Al (0.000, 0.000, 0.000)
Se (0.000, 0.500, 0.500)

Results
**Symmetry**: Pmmm
**Raw formation energy**: 0.33 eV per atom



Computed N(E_F) (states/eV/f.u.) in order:
2.44, 1.05, 6.19, 18.62, 2.84
Computed M_tot (μB per cell) in order:
0.00, 0.00, 0.00, 8.43, 0.00
Computed electronic total energy (eV/atom) in order:
-4.57, -3.79, -5.10, -5.21, -5.53